Entry 1:
VASP calculation (GGA-PBE) on crystalline In2AgHPd6 at its relaxed geometry.

Cell: 4.917 5.615 6.576 Å, 75.20 73.41 73.07°
Fractional positions:
In 0.121 0.372 0.281
In 0.879 0.628 0.719
Ag 0.500 0.500 0.500
H 0.000 0.000 0.000
Pd 0.078 0.881 0.312
Pd 0.296 0.704 0.900
Pd 0.312 0.197 0.894
Pd 0.688 0.803 0.106
Pd 0.704 0.296 0.100
Pd 0.922 0.119 0.688

Output
The density of states at the Fermi level is 2.86 states/eV/f.u. The calculation puts the final energy at -4.52 eV per atom. Its space group is No. 2. Its magnetization is 0.000 μB/f.u. As for the crystal system: triclinic.

***

Entry 2:
VASP calculation (GGA-PBE) on crystalline InAgHPd2 at its relaxed geometry.

Cell: 4.066 4.066 4.324 Å, 90.00 90.00 90.00°
Fractional positions:
In 0.000 0.000 0.000
Ag 0.500 0.500 0.000
H 0.000 0.000 0.500
Pd 0.000 0.500 0.500
Pd 0.500 0.000 0.500

Output
The density of states at the Fermi level is 1.50 states/eV/f.u. The calculation puts the final energy at -3.99 eV per atom. Its space group is No. 123. The energy above the most stable polymorph in this dataset is 57 kJ/mol of formula units. Its magnetization is 0.000 μB/f.u. As for the crystal system: tetragonal.

***

Entry 3:
VASP calculation (GGA-PBE) on crystalline Rb2InAgH6 at its relaxed geometry.

Cell: 6.091 5.911 5.835 Å, 62.46 59.38 58.16°
Fractional positions:
Rb 0.250 0.250 0.250
Rb 0.750 0.750 0.750
In 0.000 0.000 0.000
Ag 0.500 0.500 0.500
H 0.224 0.224 0.776
H 0.231 0.769 0.231
H 0.270 0.730 0.730
H 0.730 0.270 0.270
H 0.769 0.231 0.769
H 0.776 0.776 0.224

Output
The density of states at the Fermi level is 0.67 states/eV/f.u. The calculation puts the final energy at -2.77 eV per atom. Its space group is No. 69. Its magnetization is 0.000 μB/f.u. As for the crystal system: orthorhombic.

***

Entry 4:
VASP calculation (GGA-PBE) on crystalline InReAg2H at its relaxed geometry.

Cell: 5.193 5.193 5.319 Å, 90.00 90.00 90.00°
Fractional positions:
In 0.000 0.000 0.000
Re 0.000 0.000 0.500
Ag 0.000 0.500 0.500
Ag 0.500 0.000 0.500
H 0.500 0.500 0.000

Output
The density of states at the Fermi level is 4.06 states/eV/f.u. The calculation puts the final energy at -3.15 eV per atom. Its space group is No. 123. Its magnetization is 3.016 μB/f.u. As for the crystal system: tetragonal.

***

Entry 5:
VASP calculation (GGA-PBE) on crystalline InAg2HRh at its relaxed geometry.

Cell: 4.307 4.307 3.908 Å, 90.00 90.00 90.00°
Fractional positions:
In 0.000 0.000 0.000
Ag 0.000 0.500 0.500
Ag 0.500 0.000 0.500
H 0.500 0.500 0.500
Rh 0.500 0.500 0.000

Output
The density of states at the Fermi level is 2.03 states/eV/f.u. The calculation puts the final energy at -3.83 eV per atom. Its space group is No. 123. Its magnetization is 0.000 μB/f.u. As for the crystal system: tetragonal.

***

Entry 6:
VASP calculation (GGA-PBE) on crystalline InAgHRh2 at its relaxed geometry.

Cell: 4.009 4.009 4.262 Å, 90.00 90.00 90.00°
Fractional positions:
In 0.000 0.000 0.000
Ag 0.500 0.500 0.000
H 0.000 0.000 0.500
Rh 0.000 0.500 0.500
Rh 0.500 0.000 0.500

Output
The density of states at the Fermi level is 3.97 states/eV/f.u. The calculation puts the final energy at -4.68 eV per atom. Its space group is No. 123. The energy above the most stable polymorph in this dataset is 70 kJ/mol of formula units. Its magnetization is 0.000 μB/f.u. As for the crystal system: tetragonal.

***

Entry 7:
VASP calculation (GGA-PBE) on crystalline InAgHRh2 at its relaxed geometry.

Cell: 4.101 4.101 4.038 Å, 90.00 90.00 90.00°
Fractional positions:
In 0.000 0.000 0.000
Ag 0.500 0.500 0.000
H 0.500 0.500 0.500
Rh 0.000 0.500 0.500
Rh 0.500 0.000 0.500

Output
The density of states at the Fermi level is 4.11 states/eV/f.u. The calculation puts the final energy at -4.82 eV per atom. Its space group is No. 123. The energy above the most stable polymorph in this dataset is 0 kJ/mol of formula units. Its magnetization is 0.000 μB/f.u. As for the crystal system: tetragonal.

***

Entry 8:
VASP calculation (GGA-PBE) on crystalline InAg2HS at its relaxed geometry.

Cell: 5.268 5.268 3.702 Å, 90.00 90.00 90.00°
Fractional positions:
In 0.000 0.000 0.000
Ag 0.000 0.500 0.000
Ag 0.500 0.000 0.000
H 0.000 0.000 0.500
S 0.500 0.500 0.500

Output
The density of states at the Fermi level is 1.47 states/eV/f.u. The calculation puts the final energy at -2.57 eV per atom. Its space group is No. 123. The energy above the most stable polymorph in this dataset is 45 kJ/mol of formula units. Its magnetization is 0.000 μB/f.u. As for the crystal system: tetragonal.

***

Entry 9:
VASP calculation (GGA-PBE) on crystalline InAg2HS at its relaxed geometry.

Cell: 4.767 4.767 7.755 Å, 90.00 90.00 90.00°
Fractional positions:
In 0.000 0.000 0.000
Ag 0.000 0.500 0.500
Ag 0.500 0.000 0.500
H 0.500 0.500 0.000
S 0.000 0.000 0.500

Output
The density of states at the Fermi level is 0.05 states/eV/f.u. The calculation puts the final energy at -2.66 eV per atom. Its space group is No. 123. The energy above the most stable polymorph in this dataset is 0 kJ/mol of formula units. Its magnetization is 0.000 μB/f.u. As for the crystal system: tetragonal.

***

Entry 10:
VASP calculation (GGA-PBE) on crystalline Sc2InAgH at its relaxed geometry.

Cell: 4.495 4.495 4.247 Å, 90.00 90.00 90.00°
Fractional positions:
Sc 0.000 0.500 0.000
Sc 0.500 0.000 0.000
In 0.000 0.000 0.500
Ag 0.500 0.500 0.500
H 0.500 0.500 0.000

Output
The density of states at the Fermi level is 3.04 states/eV/f.u. The calculation puts the final energy at -4.67 eV per atom. Its space group is No. 123. Its magnetization is 0.798 μB/f.u. As for the crystal system: tetragonal.

***

Entry 11:
VASP calculation (GGA-PBE) on crystalline In2AgSnH at its relaxed geometry.

Cell: 5.675 5.675 3.495 Å, 90.00 90.00 90.00°
Fractional positions:
In 0.000 0.500 0.000
In 0.500 0.000 0.000
Ag 0.000 0.000 0.000
Sn 0.500 0.500 0.500
H 0.000 0.000 0.500

Output
The density of states at the Fermi level is 1.60 states/eV/f.u. The calculation puts the final energy at -2.95 eV per atom. Its space group is No. 123. The energy above the most stable polymorph in this dataset is 4 kJ/mol of formula units. Its magnetization is 0.000 μB/f.u. As for the crystal system: tetragonal.

***

Entry 12:
VASP calculation (GGA-PBE) on crystalline In2AgSnH at its relaxed geometry.

Cell: 5.564 5.564 3.533 Å, 90.00 90.00 90.00°
Fractional positions:
In 0.000 0.500 0.000
In 0.500 0.000 0.000
Ag 0.000 0.000 0.500
Sn 0.500 0.500 0.500
H 0.000 0.000 0.000

Output
The density of states at the Fermi level is 1.77 states/eV/f.u. The calculation puts the final energy at -2.96 eV per atom. Its space group is No. 123. The energy above the most stable polymorph in this dataset is 0 kJ/mol of formula units. Its magnetization is 0.000 μB/f.u. As for the crystal system: tetragonal.

***

Entry 13:
VASP calculation (GGA-PBE) on crystalline Ti2InAgH at its relaxed geometry.

Cell: 3.989 3.989 4.675 Å, 90.00 90.00 90.00°
Fractional positions:
Ti 0.000 0.500 0.000
Ti 0.500 0.000 0.000
In 0.000 0.000 0.500
Ag 0.500 0.500 0.500
H 0.000 0.000 0.000

Output
The density of states at the Fermi level is 5.37 states/eV/f.u. The calculation puts the final energy at -5.01 eV per atom. Its space group is No. 123. The energy above the most stable polymorph in this dataset is 44 kJ/mol of formula units. Its magnetization is 0.000 μB/f.u. As for the crystal system: tetragonal.

***

Entry 14:
VASP calculation (GGA-PBE) on crystalline Ti2InAgH at its relaxed geometry.

Cell: 4.080 4.080 4.428 Å, 90.00 90.00 90.00°
Fractional positions:
Ti 0.000 0.500 0.000
Ti 0.500 0.000 0.000
In 0.000 0.000 0.500
Ag 0.500 0.500 0.500
H 0.500 0.500 0.000

Output
The density of states at the Fermi level is 4.13 states/eV/f.u. The calculation puts the final energy at -5.10 eV per atom. Its space group is No. 123. The energy above the most stable polymorph in this dataset is 0 kJ/mol of formula units. Its magnetization is 0.000 μB/f.u. As for the crystal system: tetragonal.

***

Entry 15:
VASP calculation (GGA-PBE) on crystalline Tl2InAgH at its relaxed geometry.

Cell: 4.929 4.929 4.637 Å, 90.00 90.00 90.00°
Fractional positions:
Tl 0.000 0.500 0.000
Tl 0.500 0.000 0.000
In 0.000 0.000 0.500
Ag 0.500 0.500 0.500
H 0.000 0.000 0.000

Output
The density of states at the Fermi level is 1.83 states/eV/f.u. The calculation puts the final energy at -2.45 eV per atom. Its space group is No. 123. The energy above the most stable polymorph in this dataset is 42 kJ/mol of formula units. Its magnetization is 0.000 μB/f.u. As for the crystal system: tetragonal.

***

Entry 16:
VASP calculation (GGA-PBE) on crystalline TlInAg2H at its relaxed geometry.

Cell: 4.316 4.316 5.137 Å, 90.00 90.00 90.00°
Fractional positions:
Tl 0.000 0.000 0.000
In 0.500 0.500 0.000
Ag 0.000 0.500 0.500
Ag 0.500 0.000 0.500
H 0.000 0.000 0.500

Output
The density of states at the Fermi level is 1.65 states/eV/f.u. The calculation puts the final energy at -2.56 eV per atom. Its space group is No. 123. Its magnetization is 0.000 μB/f.u. As for the crystal system: tetragonal.

***

Entry 17:
VASP calculation (GGA-PBE) on crystalline Tl2InAgH at its relaxed geometry.

Cell: 5.942 5.942 3.434 Å, 90.00 90.00 90.00°
Fractional positions:
Tl 0.000 0.500 0.000
Tl 0.500 0.000 0.000
In 0.000 0.000 0.500
Ag 0.500 0.500 0.000
H 0.500 0.500 0.500

Output
The density of states at the Fermi level is 2.60 states/eV/f.u. The calculation puts the final energy at -2.53 eV per atom. Its space group is No. 123. The energy above the most stable polymorph in this dataset is 0 kJ/mol of formula units. Its magnetization is 0.000 μB/f.u. As for the crystal system: tetragonal.

***

Entry 18:
VASP calculation (GGA-PBE) on crystalline TlIn2AgH at its relaxed geometry.

Cell: 5.476 5.476 3.686 Å, 90.00 90.00 90.00°
Fractional positions:
Tl 0.000 0.000 0.000
In 0.000 0.500 0.500
In 0.500 0.000 0.500
Ag 0.500 0.500 0.000
H 0.500 0.500 0.500

Output
The density of states at the Fermi level is 1.59 states/eV/f.u. The calculation puts the final energy at -2.62 eV per atom. Its space group is No. 123. Its magnetization is 0.000 μB/f.u. As for the crystal system: tetragonal.

***

Entry 19:
VASP calculation (GGA-PBE) on crystalline YInAg2H at its relaxed geometry.

Cell: 5.422 5.422 3.663 Å, 90.00 90.00 90.00°
Fractional positions:
Y 0.000 0.000 0.000
In 0.500 0.500 0.500
Ag 0.000 0.500 0.500
Ag 0.500 0.000 0.500
H 0.500 0.500 0.000

Output
The density of states at the Fermi level is 3.22 states/eV/f.u. The calculation puts the final energy at -3.45 eV per atom. Its space group is No. 123. The energy above the most stable polymorph in this dataset is 181 kJ/mol of formula units. Its magnetization is 0.000 μB/f.u. As for the crystal system: tetragonal.

***

Entry 20:
VASP calculation (GGA-PBE) on crystalline YInAg2H at its relaxed geometry.

Cell: 4.577 4.577 4.396 Å, 90.00 90.00 90.00°
Fractional positions:
Y 0.000 0.000 0.000
In 0.500 0.500 0.000
Ag 0.000 0.500 0.500
Ag 0.500 0.000 0.500
H 0.000 0.000 0.500

Output
The density of states at the Fermi level is 2.24 states/eV/f.u. The calculation puts the final energy at -3.83 eV per atom. Its space group is No. 123. The energy above the most stable polymorph in this dataset is 0 kJ/mol of formula units. Its magnetization is 0.000 μB/f.u. As for the crystal system: tetragonal.